Material: HgGePd
Method: DFT, PBE
State: relaxed

a b c (Å): 3.045 3.045 12.360
angles (deg): 90.00 90.00 90.00
Positions (direct):
Hg  0.000  0.000  0.000
Hg  0.500  0.500  0.500
Ge  0.000  0.000  0.297
Ge  0.500  0.500  0.797
Pd  0.000  0.000  0.670
Pd  0.500  0.500  0.170

Results
distance to the lowest polymorph of the same formula: 0 meV per atom

=====

Material: LaTmCdGa
Method: DFT, PBE
State: relaxed

a b c (Å): 7.493 7.493 7.493
angles (deg): 90.00 90.00 90.00
Positions (direct):
La  0.000  0.000  0.000
La  0.000  0.500  0.500
La  0.500  0.000  0.500
La  0.500  0.500  0.000
Tm  0.000  0.000  0.500
Tm  0.000  0.500  0.000
Tm  0.500  0.000  0.000
Tm  0.500  0.500  0.500
Cd  0.250  0.250  0.750
Cd  0.250  0.750  0.250
Cd  0.750  0.250  0.250
Cd  0.750  0.750  0.750
Ga  0.250  0.250  0.250
Ga  0.250  0.750  0.750
Ga  0.750  0.250  0.750
Ga  0.750  0.750  0.250

=====

Material: K2Al
Method: DFT, PBE
State: relaxed

a b c (Å): 10.889 10.889 3.437
angles (deg): 90.00 90.00 120.00
Positions (direct):
K  0.000  0.299  0.000
K  0.000  0.632  0.500
K  0.299  0.000  0.000
K  0.368  0.368  0.500
K  0.632  0.000  0.500
K  0.701  0.701  0.000
Al  0.000  0.000  0.500
Al  0.333  0.667  0.000
Al  0.667  0.333  0.000

Results
distance to the lowest polymorph of the same formula: 228 meV per atom

=====

Material: Ni2SnPd2
Method: DFT, PBE
State: relaxed

a b c (Å): 7.078 7.078 3.076
angles (deg): 90.00 90.00 90.00
Positions (direct):
Ni  0.156  0.344  0.000
Ni  0.344  0.844  0.000
Ni  0.656  0.156  0.000
Ni  0.844  0.656  0.000
Sn  0.000  0.000  0.500
Sn  0.500  0.500  0.500
Pd  0.139  0.639  0.500
Pd  0.361  0.139  0.500
Pd  0.639  0.861  0.500
Pd  0.861  0.361  0.500

Results
distance to the lowest polymorph of the same formula: 114 meV per atom

=====

no.,volume (Å³ per atom),total magnetization (Bohr magnetons per cell),DFT formation energy (eV/atom)
1,19.094,0.000,-0.099
2,26.290,0.001,-0.424
3,39.212,0.000,0.366
4,15.410,0.000,0.037